Entry a
ZrCrPIr2, optimized geometry, DFT PBE-GGA; density of states at the Fermi level = 2.9 states/eV per cell; V = 83.5 Å³ per cell; magnetic moment = 0.92 Bohr magnetons per cell; space group = P4/mmm (123)
1.0
4.442 0.000 0.000
0.000 4.230 0.000
0.000 0.000 4.442
Ir Cr P Zr
2 1 1 1
direct
0.000 0.000 0.500
0.500 0.000 0.000
0.000 0.500 0.000
0.000 0.000 0.000
0.500 0.500 0.500


Entry b
ZrCrPIr2, optimized geometry, DFT PBE-GGA; density of states at the Fermi level = 8.9 states/eV per cell; V = 113.6 Å³ per cell; magnetic moment = 0.03 Bohr magnetons per cell; space group = P4/mmm (123)
1.0
4.845 0.000 0.000
0.000 4.840 0.000
0.000 0.000 4.845
Cr Ir Zr P
1 2 1 1
direct
0.500 0.500 0.500
0.000 0.000 0.500
0.500 0.000 0.000
0.000 0.000 0.000
0.000 0.500 0.000


Which of them is the least stable? Correct choice: entry b.


Entry a
Cr2IrPb2, optimized geometry, DFT PBE-GGA; density of states at the Fermi level = 6.3 states/eV per cell; V = 101.1 Å³ per cell; magnetic moment = 0.03 Bohr magnetons per cell; space group = I4/mmm (139)
1.0
-2.472 -3.093 -1.113
-0.551 -0.983 3.956
-6.218 1.632 1.677
Cr Ir Pb
2 1 2
direct
0.425 0.425 0.151
0.575 0.575 0.849
0.000 0.000 0.000
0.750 0.250 0.500
0.250 0.750 0.500


Entry b
Cr2IrPb2, optimized geometry, DFT PBE-GGA; density of states at the Fermi level = 11.8 states/eV per cell; V = 186.3 Å³ per cell; magnetic moment = 4.84 Bohr magnetons per cell; space group = P4/mbm (127)
1.0
6.490 0.000 0.000
0.000 6.490 0.000
0.000 0.000 4.424
Pb Cr Ir
4 4 2
direct
0.314 0.186 0.500
0.814 0.314 0.500
0.686 0.814 0.500
0.186 0.686 0.500
0.117 0.383 0.000
0.883 0.617 0.000
0.617 0.117 0.000
0.383 0.883 0.000
0.000 0.000 0.000
0.500 0.500 0.000


Which of them is the least stable? Correct choice: entry a.


Entry a
CrIrPd2, optimized geometry, DFT PBE-GGA; density of states at the Fermi level = 4.4 states/eV per cell; V = 58.1 Å³ per cell; magnetic moment = 0.00 Bohr magnetons per cell; space group = Fm-3m (225)
1.0
0.000 3.073 3.073
3.073 0.000 3.073
3.073 3.073 0.000
Pd Ir Cr
2 1 1
direct
0.250 0.250 0.250
0.750 0.750 0.750
0.500 0.500 0.500
0.000 0.000 0.000


Entry b
CrIrPd2, optimized geometry, DFT PBE-GGA; density of states at the Fermi level = 9.3 states/eV per cell; V = 128.5 Å³ per cell; magnetic moment = 5.82 Bohr magnetons per cell; space group = I-42d (122)
1.0
-2.497 -4.650 4.592
-2.614 -3.794 -5.264
-0.308 -5.571 -0.480
Cr Ir Pd
2 2 4
direct
0.250 0.750 0.500
0.500 0.500 0.000
0.000 0.000 0.000
0.750 0.250 0.500
0.136 0.625 0.250
0.875 0.864 0.750
0.614 0.125 0.250
0.375 0.386 0.750


Which of them is the least stable? Correct choice: entry b.


Entry a
Cr2Ir2Pd, optimized geometry, DFT PBE-GGA; density of states at the Fermi level = 10.7 states/eV per cell; V = 141.1 Å³ per cell; magnetic moment = 0.00 Bohr magnetons per cell; space group = P4/mbm (127)
1.0
-4.814 -2.963 -4.522
4.823 -5.090 -1.799
-0.909 -1.565 1.993
Cr Ir Pd
4 4 2
direct
0.619 0.119 0.000
0.381 0.881 0.000
0.119 0.381 0.000
0.881 0.619 0.000
0.830 0.330 0.500
0.670 0.830 0.500
0.330 0.170 0.500
0.170 0.670 0.500
0.500 0.500 0.000
0.000 0.000 0.000


Entry b
Cr2Ir2Pd, optimized geometry, DFT PBE-GGA; density of states at the Fermi level = 9.3 states/eV per cell; V = 141.9 Å³ per cell; magnetic moment = 0.00 Bohr magnetons per cell; space group = P4/mbm (127)
1.0
-2.504 6.540 1.967
-1.312 -2.516 6.698
2.472 0.720 0.755
Cr Ir Pd
4 4 2
direct
0.164 0.664 0.500
0.336 0.164 0.500
0.836 0.336 0.500
0.664 0.836 0.500
0.131 0.369 0.000
0.869 0.631 0.000
0.369 0.869 0.000
0.631 0.131 0.000
0.500 0.500 0.000
0.000 0.000 0.000


Which of them is the least stable? Correct choice: entry a.